# 1
## Ce3Ga4Ag (PBE)

Data for an optimized crystal structure of Ce3Ga4Ag.

Lattice parameters (Å, degrees): 10.133 10.133 10.133 162.35 145.66 38.86
Positions (direct):
Ce 0.000 0.000 0.000
Ce 0.255 0.755 0.500
Ce 0.745 0.245 0.500
Ga 0.148 0.381 0.767
Ga 0.385 0.619 0.767
Ga 0.615 0.381 0.233
Ga 0.852 0.619 0.233
Ag 0.500 0.500 0.000

Crystal system: orthorhombic
Formation enthalpy at 0 K in eV/atom: -0.27



# 2
## Hf3PN (PBE)

Data for an optimized crystal structure of Hf3PN.

Lattice parameters (Å, degrees): 5.748 5.748 8.328 90.00 90.00 145.71
Positions (direct):
Hf 0.063 0.937 0.750
Hf 0.365 0.635 0.559
Hf 0.365 0.635 0.941
Hf 0.635 0.365 0.059
Hf 0.635 0.365 0.441
Hf 0.937 0.063 0.250
P 0.257 0.743 0.250
P 0.743 0.257 0.750
N 0.000 0.000 0.000
N 0.000 0.000 0.500

Crystal system: orthorhombic
E above lowest polymorph in kJ/mol of atoms: 0.0
Uncorrected formation energy in eV per atom: -1.36



# 3
## VIrSN2 (PBE)

Data for an optimized crystal structure of VIrSN2.

Lattice parameters (Å, degrees): 3.667 3.667 4.978 90.00 90.00 90.00
Positions (direct):
V 0.000 0.000 0.000
Ir 0.500 0.500 0.500
S 0.000 0.000 0.500
N 0.000 0.500 0.000
N 0.500 0.000 0.000

Crystal system: tetragonal
E above lowest polymorph in kJ/mol of atoms: 6.4
Uncorrected formation energy in eV per atom: 0.84



no.,magnetization (μB/atom)
1,0.05
2,0.00
3,0.00